[1]
Below is a relaxed structure of Er2InSn2, with properties calculated at the PBE level. Values from VASP.

Geometry as Quantum ESPRESSO input:
```
&SYSTEM
  ibrav = 0, nat = 20, ntyp = 3
/
ATOMIC_SPECIES
In 114.82 In.upf
Er 167.26 Er.upf
Sn 118.71 Sn.upf
CELL_PARAMETERS angstrom
7.815 0.000 0.000
0.000 7.815 0.000
0.000 0.000 8.728
ATOMIC_POSITIONS angstrom
In 3.908 3.908 2.177
Er 6.465 2.554 0.000
Er 5.261 6.465 0.000
Er 6.462 2.558 4.364
In 3.908 3.908 6.550
Sn 4.934 1.026 6.546
Er 2.558 1.353 4.364
Sn 2.881 6.789 6.546
Sn 1.026 2.881 6.546
Er 5.257 6.462 4.364
Sn 6.789 4.934 2.182
In 0.000 0.000 2.187
Sn 1.026 2.881 2.182
Sn 2.881 6.789 2.182
Sn 4.934 1.026 2.182
Er 2.554 1.350 0.000
Er 1.353 5.257 4.364
Sn 6.789 4.934 6.546
Er 1.350 5.261 0.000
In 0.000 0.000 6.541
```

The spin magnetization comes out at 0.000 μB/atom. The value obtained for the total energy is -4.48 eV/atom. The value obtained for the formation energy is -0.51 eV/atom. The value obtained for the density of states at the Fermi level is 0.415 states/eV/atom.



[2]
Below is a relaxed structure of ErInSn2, with properties calculated at the PBE level. Values from VASP.

Geometry as Quantum ESPRESSO input:
```
&SYSTEM
  ibrav = 0, nat = 4, ntyp = 3
/
ATOMIC_SPECIES
Sn 118.71 Sn.upf
Er 167.26 Er.upf
In 114.82 In.upf
CELL_PARAMETERS angstrom
-0.464 4.054 0.451
-3.989 -0.546 0.805
1.314 -0.533 6.143
ATOMIC_POSITIONS angstrom
Sn 0.339 -0.138 1.585
Er -1.569 1.488 3.700
In -2.226 1.754 0.628
Sn 0.975 -0.396 4.558
```

The spin magnetization comes out at 0.000 μB/atom. The value obtained for the total energy is -4.14 eV/atom. The value obtained for the formation energy is -0.31 eV/atom. The distance to the lowest polymorph of the same formula is 0.0792 eV per atom. The value obtained for the density of states at the Fermi level is 0.411 states/eV/atom.



[3]
Below is a relaxed structure of ErIn2SnTe4, with properties calculated at the PBE level. Values from VASP.

Geometry as Quantum ESPRESSO input:
```
&SYSTEM
  ibrav = 0, nat = 8, ntyp = 4
/
ATOMIC_SPECIES
In 114.82 In.upf
Er 167.26 Er.upf
Te 127.60 Te.upf
Sn 118.71 Sn.upf
CELL_PARAMETERS angstrom
-3.884 2.118 -0.012
-2.398 -4.362 6.262
2.006 3.717 6.632
ATOMIC_POSITIONS angstrom
In -0.939 2.918 3.310
Er -0.196 -0.323 6.447
Te -0.289 -0.476 9.531
Te -3.155 -1.129 6.330
Te -3.987 1.949 3.351
In 2.006 3.717 6.632
Sn -1.135 2.595 9.757
Te -1.121 2.602 6.553
```

The uncorrected formation energy is -0.60 eV per atom. The spin magnetization comes out at 0.000 μB/atom. The value obtained for the total energy is -3.92 eV/atom. The value obtained for the density of states at the Fermi level is 0.475 states/eV/atom.



[4]
Below is a relaxed structure of Er2In3SnTe6, with properties calculated at the PBE level. Values from VASP.

Geometry as Quantum ESPRESSO input:
```
&SYSTEM
  ibrav = 0, nat = 12, ntyp = 4
/
ATOMIC_SPECIES
Te 127.60 Te.upf
Sn 118.71 Sn.upf
In 114.82 In.upf
Er 167.26 Er.upf
CELL_PARAMETERS angstrom
4.408 0.000 0.000
0.000 9.320 0.114
-2.204 -2.913 9.648
ATOMIC_POSITIONS angstrom
Te 2.204 0.021 3.193
Te 2.204 4.101 9.543
Sn 2.204 0.000 0.000
In 2.204 -0.420 6.468
Te 0.000 6.386 6.569
In 2.204 4.660 0.057
Te 2.204 4.297 3.377
Te 0.000 2.306 0.219
Te 0.000 2.110 6.385
Er 2.204 4.259 6.472
In 0.000 6.827 3.294
Er 0.000 2.148 3.290
```

The uncorrected formation energy is -0.72 eV per atom. The spin magnetization comes out at 0.000 μB/atom. The value obtained for the total energy is -4.07 eV/atom. The value obtained for the density of states at the Fermi level is 0.377 states/eV/atom.



[5]
Below is a relaxed structure of ErZnInSn, with properties calculated at the PBE level. Values from VASP.

Geometry as Quantum ESPRESSO input:
```
&SYSTEM
  ibrav = 0, nat = 4, ntyp = 4
/
ATOMIC_SPECIES
Sn 118.71 Sn.upf
Zn 65.41 Zn.upf
Er 167.26 Er.upf
In 114.82 In.upf
CELL_PARAMETERS angstrom
-0.439 -0.755 4.366
-4.138 -1.899 -0.744
1.919 -3.986 -0.497
ATOMIC_POSITIONS angstrom
Sn -1.110 -2.942 -0.621
Zn 0.740 -2.371 1.935
Er -2.288 -1.327 1.811
In 0.000 0.000 0.000
```

The spin magnetization comes out at 0.000 μB/atom. The value obtained for the total energy is -3.53 eV/atom. The value obtained for the formation energy is -0.38 eV/atom. The value obtained for the density of states at the Fermi level is 0.337 states/eV/atom.



[6]
Below is a relaxed structure of Sr5ErIn6, with properties calculated at the PBE level. Values from VASP.

Geometry as Quantum ESPRESSO input:
```
&SYSTEM
  ibrav = 0, nat = 12, ntyp = 3
/
ATOMIC_SPECIES
In 114.82 In.upf
Sr 87.62 Sr.upf
Er 167.26 Er.upf
CELL_PARAMETERS angstrom
-3.383 -1.901 -4.177
-6.336 0.995 4.679
-5.781 7.513 -2.690
ATOMIC_POSITIONS angstrom
In -5.094 0.821 -4.052
In -6.911 5.237 -0.717
In -8.814 6.773 -3.788
Sr -10.344 4.508 -1.496
Sr -8.364 2.943 1.518
Er 0.000 0.000 0.000
In -10.406 5.786 1.863
In -6.686 -0.166 1.600
Sr -5.155 2.099 -0.692
Sr -3.168 0.498 2.339
In -8.588 1.370 -1.472
Sr -7.135 3.664 -3.707
```

The spin magnetization comes out at 0.000 μB/atom. The value obtained for the total energy is -2.88 eV/atom. The value obtained for the formation energy is -0.43 eV/atom. The value obtained for the density of states at the Fermi level is 0.574 states/eV/atom.



[7]
Below is a relaxed structure of SrEr2In, with properties calculated at the PBE level. Values from VASP.

Geometry as Quantum ESPRESSO input:
```
&SYSTEM
  ibrav = 0, nat = 4, ntyp = 3
/
ATOMIC_SPECIES
Er 167.26 Er.upf
In 114.82 In.upf
Sr 87.62 Sr.upf
CELL_PARAMETERS angstrom
3.645 0.000 0.000
1.823 3.157 0.000
1.823 1.052 11.918
ATOMIC_POSITIONS angstrom
Er 5.468 3.157 3.568
In 3.645 2.105 5.959
Er 1.823 1.052 8.350
Sr 0.000 0.000 0.000
```

The spin magnetization comes out at 0.000 μB/atom. The value obtained for the total energy is -3.29 eV/atom. The value obtained for the formation energy is 0.10 eV/atom. The value obtained for the density of states at the Fermi level is 1.167 states/eV/atom.



[8]
Below is a relaxed structure of Sr3ErIn4, with properties calculated at the PBE level. Values from VASP.

Geometry as Quantum ESPRESSO input:
```
&SYSTEM
  ibrav = 0, nat = 8, ntyp = 3
/
ATOMIC_SPECIES
Sr 87.62 Sr.upf
In 114.82 In.upf
Er 167.26 Er.upf
CELL_PARAMETERS angstrom
-1.068 -3.219 -2.014
3.704 -1.344 0.184
-3.441 -7.578 13.937
ATOMIC_POSITIONS angstrom
Sr -0.402 -6.070 6.054
Sr 0.492 -4.101 2.432
In -1.277 -2.811 5.170
In -3.079 -6.780 12.469
Er 1.318 -2.282 -0.915
In -0.362 -0.798 1.468
Sr -1.297 -8.040 9.675
In -2.165 -4.766 8.767
```

The spin magnetization comes out at 0.000 μB/atom. The value obtained for the total energy is -2.99 eV/atom. The value obtained for the formation energy is -0.42 eV/atom. The value obtained for the density of states at the Fermi level is 0.804 states/eV/atom.



[9]
Below is a relaxed structure of Sr2ErInTe5, with properties calculated at the PBE level. Values from VASP.

Geometry as Quantum ESPRESSO input:
```
&SYSTEM
  ibrav = 0, nat = 18, ntyp = 4
/
ATOMIC_SPECIES
Er 167.26 Er.upf
Te 127.60 Te.upf
In 114.82 In.upf
Sr 87.62 Sr.upf
CELL_PARAMETERS angstrom
-3.042 -1.057 3.084
6.042 -8.283 -0.104
8.041 5.741 9.902
ATOMIC_POSITIONS angstrom
Er 5.300 -2.655 7.542
Te 7.998 -1.245 7.463
Te 0.641 0.909 4.168
Te 1.754 -3.275 3.831
Te 10.624 -4.349 8.990
In 7.549 -5.289 5.634
Te 7.164 1.061 10.655
Te 3.260 -6.307 1.053
Sr 3.738 -0.470 3.527
Te 5.723 -3.343 4.499
Te 7.076 -5.218 8.416
Te 0.966 -0.522 0.774
In 6.550 3.872 11.014
Er 2.067 -3.568 0.816
Sr 6.536 1.815 7.070
Sr 3.373 -6.222 4.418
Sr 8.401 -2.346 10.708
Te 3.796 -0.138 6.921
```

The uncorrected formation energy is -1.23 eV per atom. The spin magnetization comes out at 0.000 μB/atom. The value obtained for the total energy is -4.16 eV/atom.



[10]
Below is a relaxed structure of SrErZnIn, with properties calculated at the PBE level. Values from VASP.

Geometry as Quantum ESPRESSO input:
```
&SYSTEM
  ibrav = 0, nat = 4, ntyp = 4
/
ATOMIC_SPECIES
Sr 87.62 Sr.upf
In 114.82 In.upf
Zn 65.41 Zn.upf
Er 167.26 Er.upf
CELL_PARAMETERS angstrom
5.398 0.000 0.000
2.699 4.674 0.000
2.699 1.558 4.407
ATOMIC_POSITIONS angstrom
Sr 0.000 0.000 0.000
In 2.699 1.558 1.102
Zn 8.096 4.674 3.305
Er 5.398 3.116 2.204
```

The spin magnetization comes out at 0.000 μB/atom. The value obtained for the total energy is -2.84 eV/atom. The value obtained for the formation energy is -0.28 eV/atom. The value obtained for the density of states at the Fermi level is 0.712 states/eV/atom.



[11]
Below is a relaxed structure of Tb3ErIn2, with properties calculated at the PBE level. Values from VASP.

Geometry as Quantum ESPRESSO input:
```
&SYSTEM
  ibrav = 0, nat = 6, ntyp = 3
/
ATOMIC_SPECIES
Tb 158.93 Tb.upf
Er 167.26 Er.upf
In 114.82 In.upf
CELL_PARAMETERS angstrom
3.393 0.000 0.000
0.000 5.677 0.000
-1.696 -2.838 9.338
ATOMIC_POSITIONS angstrom
Tb 1.696 2.838 5.888
Tb 0.000 0.000 3.450
Er 0.000 0.000 0.000
Tb 0.000 2.838 0.000
In 1.696 2.838 2.740
In 0.000 0.000 6.598
```

The spin magnetization comes out at 0.000 μB/atom. The value obtained for the total energy is -3.89 eV/atom. The value obtained for the formation energy is 0.10 eV/atom. The distance to the lowest polymorph of the same formula is 0.4566 eV per atom. The value obtained for the density of states at the Fermi level is 1.314 states/eV/atom.



[12]
Below is a relaxed structure of Tb6Er5In, with properties calculated at the PBE level. Values from VASP.

Geometry as Quantum ESPRESSO input:
```
&SYSTEM
  ibrav = 0, nat = 12, ntyp = 3
/
ATOMIC_SPECIES
Er 167.26 Er.upf
In 114.82 In.upf
Tb 158.93 Tb.upf
CELL_PARAMETERS angstrom
4.743 -0.007 -1.380
-3.220 8.413 -2.272
0.127 -0.473 9.277
ATOMIC_POSITIONS angstrom
Er -0.290 6.925 -1.032
In 0.000 0.000 0.000
Er 2.647 5.419 0.230
Tb 0.686 7.457 2.316
Er -0.998 2.514 5.396
Tb -0.151 3.435 -0.536
Tb -1.127 5.993 4.937
Tb 1.800 4.498 6.162
Tb 0.964 0.476 3.310
Tb 2.776 1.940 0.688
Er 0.825 3.966 2.813
Er 1.939 1.008 6.658
```

The spin magnetization comes out at 0.000 μB/atom. The value obtained for the total energy is -4.50 eV/atom. The value obtained for the formation energy is -0.06 eV/atom. The value obtained for the density of states at the Fermi level is 1.392 states/eV/atom.